No. 1
A plane-wave DFT calculation with meta-GGA SCAN was carried out for ZnCu2Cl at its PBEsol-relaxed geometry.

Calculated values
Polymorph energy (0 for the lowest one)   0.2364 eV per atom

The structure in CIF format:
```
data_ZnCu2Cl
_cell_length_a 5.768
_cell_length_b 5.768
_cell_length_c 5.768
_cell_angle_alpha 145.74
_cell_angle_beta 145.74
_cell_angle_gamma 49.23
_symmetry_space_group_name_H-M 'P 1'
_symmetry_Int_Tables_number 1
loop_
_symmetry_equiv_pos_as_xyz
'x,y,z'
loop_
_atom_site_label
_atom_site_fract_x
_atom_site_fract_y
_atom_site_fract_z
Zn1 0.000 0.000 0.000
Cu1 0.250 0.750 0.500
Cu2 0.500 0.500 0.000
Cl1 0.750 0.250 0.500
```

No. 2
A plane-wave DFT calculation with meta-GGA SCAN was carried out for ZrCu2Cl at its PBEsol-relaxed geometry.

Calculated values
Polymorph energy (0 for the lowest one)   0.0694 eV per atom

The structure in CIF format:
```
data_ZrCu2Cl
_cell_length_a 3.014
_cell_length_b 4.163
_cell_length_c 4.901
_cell_angle_alpha 90.00
_cell_angle_beta 90.00
_cell_angle_gamma 90.00
_symmetry_space_group_name_H-M 'P 1'
_symmetry_Int_Tables_number 1
loop_
_symmetry_equiv_pos_as_xyz
'x,y,z'
loop_
_atom_site_label
_atom_site_fract_x
_atom_site_fract_y
_atom_site_fract_z
Zr1 0.000 0.000 0.000
Cu1 0.000 0.500 0.500
Cu2 0.500 0.000 0.500
Cl1 0.500 0.500 0.000
```

No. 3
A plane-wave DFT calculation with meta-GGA SCAN was carried out for ZrCu2Cl at its PBEsol-relaxed geometry.

Calculated values
Polymorph energy (0 for the lowest one)   0.0000 eV per atom

The structure in CIF format:
```
data_ZrCu2Cl
_cell_length_a 4.563
_cell_length_b 4.563
_cell_length_c 5.045
_cell_angle_alpha 104.99
_cell_angle_beta 104.99
_cell_angle_gamma 38.71
_symmetry_space_group_name_H-M 'P 1'
_symmetry_Int_Tables_number 1
loop_
_symmetry_equiv_pos_as_xyz
'x,y,z'
loop_
_atom_site_label
_atom_site_fract_x
_atom_site_fract_y
_atom_site_fract_z
Zr1 0.000 0.000 0.000
Cu1 0.508 0.508 0.472
Cu2 0.771 0.771 0.358
Cl1 0.250 0.250 0.827
```

No. 4
A plane-wave DFT calculation with meta-GGA SCAN was carried out for ZrCu2Cl at its PBEsol-relaxed geometry.

Calculated values
Polymorph energy (0 for the lowest one)   0.0077 eV per atom

The structure in CIF format:
```
data_ZrCu2Cl
_cell_length_a 5.495
_cell_length_b 5.495
_cell_length_c 5.495
_cell_angle_alpha 148.58
_cell_angle_beta 134.70
_cell_angle_gamma 56.17
_symmetry_space_group_name_H-M 'P 1'
_symmetry_Int_Tables_number 1
loop_
_symmetry_equiv_pos_as_xyz
'x,y,z'
loop_
_atom_site_label
_atom_site_fract_x
_atom_site_fract_y
_atom_site_fract_z
Zr1 0.000 0.000 0.000
Cu1 0.250 0.750 0.500
Cu2 0.750 0.250 0.500
Cl1 0.500 0.500 0.000
```

No. 5
A plane-wave DFT calculation with meta-GGA SCAN was carried out for ZrCu2Cl at its PBEsol-relaxed geometry.

Calculated values
Polymorph energy (0 for the lowest one)   0.0790 eV per atom

The structure in CIF format:
```
data_ZrCu2Cl
_cell_length_a 5.110
_cell_length_b 5.110
_cell_length_c 2.974
_cell_angle_alpha 90.07
_cell_angle_beta 90.07
_cell_angle_gamma 122.82
_symmetry_space_group_name_H-M 'P 1'
_symmetry_Int_Tables_number 1
loop_
_symmetry_equiv_pos_as_xyz
'x,y,z'
loop_
_atom_site_label
_atom_site_fract_x
_atom_site_fract_y
_atom_site_fract_z
Zr1 0.000 0.000 0.000
Cu1 0.000 0.500 0.500
Cu2 0.500 0.000 0.500
Cl1 0.500 0.500 0.000
```

No. 6
A plane-wave DFT calculation with meta-GGA SCAN was carried out for DyCl3 at its PBEsol-relaxed geometry.

Calculated values
DFT total energy   -20.448 eV per atom

The structure in CIF format:
```
data_DyCl3
_cell_length_a 6.468
_cell_length_b 6.468
_cell_length_c 8.357
_cell_angle_alpha 90.00
_cell_angle_beta 90.00
_cell_angle_gamma 146.35
_symmetry_space_group_name_H-M 'P 1'
_symmetry_Int_Tables_number 1
loop_
_symmetry_equiv_pos_as_xyz
'x,y,z'
loop_
_atom_site_label
_atom_site_fract_x
_atom_site_fract_y
_atom_site_fract_z
Dy1 0.241 0.759 0.750
Dy2 0.759 0.241 0.250
Cl1 0.153 0.847 0.067
Cl2 0.153 0.847 0.433
Cl3 0.408 0.592 0.250
Cl4 0.592 0.408 0.750
Cl5 0.847 0.153 0.567
Cl6 0.847 0.153 0.933
```

No. 7
A plane-wave DFT calculation with meta-GGA SCAN was carried out for KDy2Cl7 at its PBEsol-relaxed geometry.

Calculated values
DFT total energy   -18.470 eV per atom

The structure in CIF format:
```
data_KDy2Cl7
_cell_length_a 6.835
_cell_length_b 12.362
_cell_length_c 12.926
_cell_angle_alpha 90.00
_cell_angle_beta 91.82
_cell_angle_gamma 90.00
_symmetry_space_group_name_H-M 'P 1'
_symmetry_Int_Tables_number 1
loop_
_symmetry_equiv_pos_as_xyz
'x,y,z'
loop_
_atom_site_label
_atom_site_fract_x
_atom_site_fract_y
_atom_site_fract_z
K1 0.196 0.212 0.471
K2 0.196 0.288 0.971
K3 0.804 0.712 0.029
K4 0.804 0.788 0.529
Dy1 0.219 0.535 0.261
Dy2 0.219 0.965 0.761
Dy3 0.282 0.661 0.756
Dy4 0.282 0.839 0.256
Dy5 0.718 0.161 0.744
Dy6 0.718 0.339 0.244
Dy7 0.781 0.035 0.239
Dy8 0.781 0.465 0.739
Cl1 0.003 0.204 0.184
Cl2 0.003 0.296 0.684
Cl3 0.031 0.569 0.620
Cl4 0.031 0.931 0.120
Cl5 0.069 0.528 0.872
Cl6 0.069 0.972 0.372
Cl7 0.254 0.685 0.107
Cl8 0.254 0.815 0.607
Cl9 0.447 0.060 0.624
Cl10 0.447 0.440 0.124
Cl11 0.450 0.097 0.875
Cl12 0.450 0.403 0.375
Cl13 0.483 0.673 0.337
Cl14 0.483 0.827 0.837
Cl15 0.517 0.173 0.163
Cl16 0.517 0.327 0.663
Cl17 0.550 0.597 0.625
Cl18 0.550 0.903 0.125
Cl19 0.553 0.560 0.876
Cl20 0.553 0.940 0.376
Cl21 0.746 0.185 0.393
Cl22 0.746 0.315 0.893
Cl23 0.931 0.028 0.628
Cl24 0.931 0.472 0.128
Cl25 0.969 0.069 0.880
Cl26 0.969 0.431 0.380
Cl27 0.997 0.704 0.316
Cl28 0.997 0.796 0.816
```

No. 8
A plane-wave DFT calculation with meta-GGA SCAN was carried out for K2RbDyCl6 at its PBEsol-relaxed geometry.

Calculated values
DFT total energy   -15.558 eV per atom

The structure in CIF format:
```
data_K2RbDyCl6
_cell_length_a 7.953
_cell_length_b 7.953
_cell_length_c 7.953
_cell_angle_alpha 60.00
_cell_angle_beta 60.00
_cell_angle_gamma 60.00
_symmetry_space_group_name_H-M 'P 1'
_symmetry_Int_Tables_number 1
loop_
_symmetry_equiv_pos_as_xyz
'x,y,z'
loop_
_atom_site_label
_atom_site_fract_x
_atom_site_fract_y
_atom_site_fract_z
K1 0.250 0.250 0.250
K2 0.750 0.750 0.750
Rb1 0.000 0.000 0.000
Dy1 0.500 0.500 0.500
Cl1 0.269 0.269 0.731
Cl2 0.269 0.731 0.269
Cl3 0.269 0.731 0.731
Cl4 0.731 0.269 0.269
Cl5 0.731 0.269 0.731
Cl6 0.731 0.731 0.269
```

No. 9
A plane-wave DFT calculation with meta-GGA SCAN was carried out for Rb2LiDyCl6 at its PBEsol-relaxed geometry.

Calculated values
DFT total energy   -16.302 eV per atom

The structure in CIF format:
```
data_Rb2LiDyCl6
_cell_length_a 7.239
_cell_length_b 7.239
_cell_length_c 7.239
_cell_angle_alpha 60.00
_cell_angle_beta 60.00
_cell_angle_gamma 60.00
_symmetry_space_group_name_H-M 'P 1'
_symmetry_Int_Tables_number 1
loop_
_symmetry_equiv_pos_as_xyz
'x,y,z'
loop_
_atom_site_label
_atom_site_fract_x
_atom_site_fract_y
_atom_site_fract_z
Rb1 0.250 0.250 0.250
Rb2 0.750 0.750 0.750
Li1 0.000 0.000 0.000
Dy1 0.500 0.500 0.500
Cl1 0.246 0.246 0.754
Cl2 0.246 0.754 0.246
Cl3 0.246 0.754 0.754
Cl4 0.754 0.246 0.246
Cl5 0.754 0.246 0.754
Cl6 0.754 0.754 0.246
```